[1]
Entry from Alexandria: a crystal of BaIr relaxed with PBEsol (meta-GGA SCAN).

```
BaIr
1.0
4.3620 0.0000 0.0000
2.1810 3.7776 0.0000
2.1810 1.2592 8.5907
Ba Ir
2 2
direct
0.9188 0.9188 0.2435
0.0812 0.0812 0.7565
0.3333 0.3333 0.0001
0.6667 0.6667 0.9999
```

Properties
ΔH_f (0 K)	-0.333	eV per atom
M_tot	0.68	μB per formula unit
space group	R-3m (166)

[2]
Entry from Alexandria: a crystal of BaIr3 relaxed with PBEsol (meta-GGA SCAN).

```
BaIr3
1.0
5.1718 0.0000 0.0000
0.0000 5.1718 0.0000
0.0000 0.0000 5.1718
Ir Ba
3 1
direct
0.0000 0.0000 0.5000
0.0000 0.5000 0.0000
0.5000 0.0000 0.0000
0.0000 0.0000 0.0000
```

Properties
ΔH_f (0 K)	4.020	eV per atom
M_tot	2.83	μB per formula unit
space group	Pm-3m (221)

[3]
Entry from Alexandria: a crystal of BaIr relaxed with PBEsol (meta-GGA SCAN).

```
BaIr
1.0
4.4844 0.0000 0.0000
0.0000 4.4844 0.0000
-2.2422 -2.2422 4.8629
Ir Ba
2 2
direct
0.5000 0.5000 0.0000
0.7500 0.2500 0.5000
0.0000 0.0000 0.0000
0.2500 0.7500 0.5000
```

Properties
ΔH_f (0 K)	0.661	eV per atom
M_tot	0.74	μB per formula unit
space group	I4_1/amd (141)

[4]
Entry from Alexandria: a crystal of Ba2Ir relaxed with PBEsol (meta-GGA SCAN).

```
Ba2Ir
1.0
4.4824 0.0000 0.0000
-2.2412 3.8819 0.0000
0.0000 0.0000 7.1381
Ir Ba
1 2
direct
0.0000 0.0000 0.0000
0.6667 0.3333 0.2224
0.3333 0.6667 0.7776
```

Properties
ΔH_f (0 K)	-0.074	eV per atom
M_tot	0.03	μB per formula unit
space group	P-3m1 (164)

[5]
Entry from Alexandria: a crystal of Ba2Ir relaxed with PBEsol (meta-GGA SCAN).

```
Ba2Ir
1.0
6.3738 0.0000 0.0000
3.1869 5.5198 0.0000
3.1869 1.8399 5.2042
Ba Ir
4 2
direct
0.1250 0.1250 0.1250
0.1250 0.6250 0.1250
0.6250 0.1250 0.1250
0.1250 0.1250 0.6250
0.7500 0.7500 0.7500
0.5000 0.5000 0.5000
```

Properties
ΔH_f (0 K)	1.282	eV per atom
M_tot	0.00	μB per formula unit
space group	Fd-3m (227)

[6]
Entry from Alexandria: a crystal of Ba2Ir3 relaxed with PBEsol (meta-GGA SCAN).

```
Ba2Ir3
1.0
4.1757 0.0000 0.0000
2.0878 3.6162 0.0000
2.0878 1.2054 9.0927
Ba Ir
2 3
direct
0.4060 0.4060 0.7821
0.5940 0.5940 0.2179
0.0000 0.0000 0.0000
0.8331 0.8331 0.5008
0.1669 0.1669 0.4992
```

Properties
ΔH_f (0 K)	0.154	eV per atom
M_tot	0.66	μB per formula unit
space group	R-3m (166)

[7]
Entry from Alexandria: a crystal of Ba2Ir relaxed with PBEsol (meta-GGA SCAN).

```
Ba2Ir
1.0
5.2279 0.0000 0.0000
2.6139 4.5275 0.0000
2.6139 1.5092 4.2685
Ba Ir
2 1
direct
0.7500 0.7500 0.7500
0.2500 0.2500 0.2500
0.0000 0.0000 0.0000
```

Properties
ΔH_f (0 K)	-0.156	eV per atom
M_tot	0.01	μB per formula unit
space group	Fm-3m (225)

[8]
Entry from Alexandria: a crystal of BaIr relaxed with PBEsol (meta-GGA SCAN).

```
BaIr
1.0
3.4186 0.0000 0.0000
-1.7093 2.9606 0.0000
0.0000 0.0000 4.8303
Ba Ir
1 1
direct
0.0000 0.0000 0.0000
0.6667 0.3333 0.5000
```

Properties
ΔH_f (0 K)	0.860	eV per atom
M_tot	0.00	μB per formula unit
space group	P-6m2 (187)

[9]
Entry from Alexandria: a crystal of Ba3Ir relaxed with PBEsol (meta-GGA SCAN).

```
Ba3Ir
1.0
4.1801 0.0000 0.0000
0.0000 7.6344 0.0000
0.0000 0.0000 10.6940
Ir Ba
2 6
direct
0.0000 0.0000 0.6892
0.5000 0.5000 0.3108
0.0000 0.7354 0.1800
0.5000 0.7646 0.8200
0.5000 0.0000 0.4830
0.0000 0.2646 0.1800
0.0000 0.5000 0.5170
0.5000 0.2354 0.8200
```

Properties
ΔH_f (0 K)	-0.059	eV per atom
M_tot	0.64	μB per formula unit
space group	Pmmn (59)

[10]
Entry from Alexandria: a crystal of BaIr relaxed with PBEsol (meta-GGA SCAN).

```
BaIr
1.0
4.1138 0.0000 0.0000
-2.0569 5.7929 -0.0588
0.0000 -1.0188 7.7206
Ir Ba
3 3
direct
0.0893 0.1787 0.4254
0.6646 0.3292 0.3032
0.5950 0.1901 0.6148
0.3832 0.7665 0.2250
0.3299 0.6598 0.6487
0.1045 0.2090 0.9496
```

Properties
ΔH_f (0 K)	0.055	eV per atom
M_tot	0.00	μB per formula unit
space group	Cm (8)

[11]
Entry from Alexandria: a crystal of BaIr relaxed with PBEsol (meta-GGA SCAN).

```
BaIr
1.0
-3.2172 2.2989 -1.0525
-0.1692 -4.0674 -0.4132
-3.4593 -0.7614 8.9112
Ba Ir
2 2
direct
0.6667 0.3333 0.7843
0.3333 0.6667 0.2157
0.6667 0.3333 0.4680
0.3333 0.6667 0.5320
```

Properties
ΔH_f (0 K)	0.081	eV per atom
M_tot	0.00	μB per formula unit
space group	P-3m1 (164)

[12]
Entry from Alexandria: a crystal of KBaIr4 relaxed with PBEsol (meta-GGA SCAN).

```
KBaIr4
1.0
5.4578 0.0000 0.0000
2.7289 4.7266 0.0000
2.7289 1.5755 4.4562
K Ir Ba
1 4 1
direct
0.7500 0.7500 0.7500
0.3753 0.3753 0.3753
0.3753 0.8741 0.3753
0.3753 0.3753 0.8741
0.8741 0.3753 0.3753
0.0000 0.0000 0.0000
```

Properties
ΔH_f (0 K)	0.250	eV per atom
M_tot	0.00	μB per formula unit
space group	F-43m (216)

[13]
Entry from Alexandria: a crystal of K4BaIr relaxed with PBEsol (meta-GGA SCAN).

```
K4BaIr
1.0
6.9106 0.0000 0.0000
3.4553 5.9848 0.0000
3.4553 1.9949 5.6425
Ir K Ba
1 4 1
direct
0.0000 0.0000 0.0000
0.3710 0.3710 0.8869
0.8869 0.3710 0.3710
0.3710 0.8869 0.3710
0.3710 0.3710 0.3710
0.7500 0.7500 0.7500
```

Properties
ΔH_f (0 K)	0.883	eV per atom
M_tot	0.00	μB per formula unit
space group	F-43m (216)

[14]
Entry from Alexandria: a crystal of Ba2LaIr relaxed with PBEsol (meta-GGA SCAN).

```
Ba2LaIr
1.0
-0.1546 -3.4387 -2.7808
4.9471 -1.6211 1.7296
-5.5920 -3.2115 4.2822
Ba Ir La
2 1 1
direct
0.0000 0.8532 0.2066
0.0000 0.1468 0.7934
0.5000 0.0000 0.5000
0.5000 0.5000 0.5000
```

Properties
ΔH_f (0 K)	-0.272	eV per atom
offset from the most stable computed form	66.9	meV/atom
M_tot	0.00	μB per formula unit
space group	Cmmm (65)

[15]
Entry from Alexandria: a crystal of Ba2LaIr relaxed with PBEsol (meta-GGA SCAN).

```
Ba2LaIr
1.0
-3.2508 2.4892 1.2852
0.4123 -3.9736 1.5746
6.7303 5.5056 6.3600
Ir Ba La
1 2 1
direct
0.4911 0.9822 0.4743
0.2168 0.4336 0.6538
0.0074 0.0148 0.0188
0.7847 0.5693 0.3531
```

Properties
ΔH_f (0 K)	-0.339	eV per atom
offset from the most stable computed form	0.0	meV/atom
M_tot	0.04	μB per formula unit
space group	Cm (8)

[16]
Entry from Alexandria: a crystal of Ba2LaIr relaxed with PBEsol (meta-GGA SCAN).

```
Ba2LaIr
1.0
5.4528 0.0000 0.0000
2.7264 4.7222 0.0000
2.7264 1.5741 4.4522
La Ba Ir
1 2 1
direct
0.5000 0.5000 0.5000
0.7500 0.7500 0.7500
0.2500 0.2500 0.2500
0.0000 0.0000 0.0000
```

Properties
ΔH_f (0 K)	0.396	eV per atom
offset from the most stable computed form	734.5	meV/atom
M_tot	0.00	μB per formula unit
space group	Fm-3m (225)

[17]
Entry from Alexandria: a crystal of Ba3LaIrRuO9 relaxed with PBEsol (meta-GGA SCAN).

```
Ba3LaIrRuO9
1.0
-4.3521 -3.4909 1.9781
4.7804 0.9609 3.3563
-6.7204 11.8757 6.1719
O Ba La Ir Ru
18 6 2 2 2
direct
0.5081 0.4919 0.7488
0.6416 0.8208 0.0954
0.1792 0.3584 0.0954
0.0163 0.5081 0.2488
0.4919 0.9837 0.2488
0.3568 0.1784 0.9075
0.9837 0.4919 0.7488
0.4919 0.5081 0.2488
0.8216 0.6432 0.9075
0.8216 0.1784 0.9075
0.1784 0.8216 0.4075
0.8208 0.6416 0.5954
0.3584 0.1792 0.5954
0.6432 0.8216 0.4075
0.5081 0.0163 0.7488
0.8208 0.1792 0.5954
0.1784 0.3568 0.4075
0.1792 0.8208 0.0954
0.0000 0.0000 0.2503
0.6667 0.3333 0.3932
0.3333 0.6667 0.8932
0.3333 0.6667 0.6033
0.0000 0.0000 0.7503
0.6667 0.3333 0.1033
0.0000 0.0000 0.4994
0.0000 0.0000 0.9994
0.3333 0.6667 0.3320
0.6667 0.3333 0.8320
0.6667 0.3333 0.6669
0.3333 0.6667 0.1669
```

Properties
M_tot	2.01	μB per formula unit
space group	P6_3mc (186)
uncorrected formation energy	-2.38	eV per atom

[18]
Entry from Alexandria: a crystal of Ba2LiIr relaxed with PBEsol (meta-GGA SCAN).

```
Ba2LiIr
1.0
-3.1875 0.3323 3.0735
4.2204 -0.6162 1.2359
-0.6906 8.1664 -1.5991
Ir Ba Li
1 2 1
direct
0.4582 0.9164 0.3748
0.0422 0.0843 0.1278
0.2079 0.4159 0.6224
0.7917 0.5834 0.3750
```

Properties
ΔH_f (0 K)	-0.151	eV per atom
M_tot	0.00	μB per formula unit
space group	Cm (8)

[19]
Entry from Alexandria: a crystal of BaLiIr relaxed with PBEsol (meta-GGA SCAN).

```
BaLiIr
1.0
3.5113 0.0000 0.0000
0.0000 3.5113 0.0000
-1.7556 -1.7556 5.2107
Li Ir Ba
1 1 1
direct
0.2828 0.2828 0.5655
0.7063 0.7063 0.4125
0.0110 0.0110 0.0220
```

Properties
ΔH_f (0 K)	0.127	eV per atom
M_tot	0.00	μB per formula unit
space group	I4mm (107)

[20]
Entry from Alexandria: a crystal of Ba2LiIr relaxed with PBEsol (meta-GGA SCAN).

```
Ba2LiIr
1.0
4.4955 0.0000 0.0000
0.0000 4.5563 0.0000
-2.2478 0.0000 5.8633
Ba Ir Li
2 1 1
direct
0.2638 0.5000 0.5276
0.9878 0.0000 0.9755
0.6797 0.0000 0.3594
0.5799 0.5000 0.1598
```

Properties
ΔH_f (0 K)	-0.063	eV per atom
M_tot	0.01	μB per formula unit
space group	Amm2 (38)

no.,N(E_F) (states/eV/f.u.)
1,1.79
2,3.33
3,1.71
4,2.14
5,2.26
6,4.52
7,2.04
8,0.97
9,3.64
10,2.12
11,2.30
12,6.05
13,3.61
14,2.70
15,2.73
16,4.67
17,2.64
18,1.55
19,0.84
20,1.26